Entry 1:
LaIn2Se (PBE, optimized geometry); crystal system = tetragonal; total DFT energy (no corrections) = -4.136 eV per atom; total magnetic moment = 0.0 μB per formula unit
1.0
5.757 0.016 -0.008
1.757 5.482 0.008
-3.749 -2.760 3.387
In La Se
2 1 1
Direct
0.000 0.000 0.000
0.250 0.750 0.500
0.500 0.500 0.000
0.750 0.250 0.500

***

Entry 2:
Mg3ZnSe (PBE, optimized geometry); crystal system = tetragonal; total DFT energy (no corrections) = -2.022 eV per atom; total magnetic moment = 0.0 μB per formula unit
1.0
-3.831 -7.070 1.179
-0.172 -5.993 5.487
-0.086 7.901 -1.903
Mg Se Zn
3 1 1
Direct
0.186 0.186 0.000
0.374 0.874 0.500
0.874 0.374 0.500
0.733 0.733 0.000
0.011 0.011 0.000